[1]
{"formula": "Rb4Tm3SnSe8", "functional": "GGA-PBE", "state": "relaxed", "magmom_total_mub_per_cell": 0.0, "mass_density_g_cm3": 5.41, "e_form_raw_ev_per_atom": -1.468, "cell": [[4.215, 2.434, 7.980], [-4.215, 2.434, 7.980], [0.000, -4.868, 7.980]], "species": ["Rb", "Rb", "Rb", "Rb", "Tm", "Tm", "Tm", "Sn", "Se", "Se", "Se", "Se", "Se", "Se", "Se", "Se"], "frac_coords": [[0.000, 0.000, 0.000], [0.000, 0.500, 0.500], [0.500, 0.000, 0.500], [0.500, 0.500, 0.000], [0.000, 0.000, 0.500], [0.000, 0.500, 0.000], [0.500, 0.000, 0.000], [0.500, 0.500, 0.500], [0.227, 0.733, 0.733], [0.231, 0.231, 0.231], [0.267, 0.267, 0.773], [0.267, 0.773, 0.267], [0.733, 0.227, 0.733], [0.733, 0.733, 0.227], [0.769, 0.769, 0.769], [0.773, 0.267, 0.267]]}

=====

[2]
{"formula": "Rb2USnSe6", "functional": "GGA-PBE", "state": "relaxed", "magmom_total_mub_per_cell": 0.0, "mass_density_g_cm3": 5.18, "e_form_raw_ev_per_atom": -0.797, "cell": [[0.000, 5.433, 5.433], [5.433, 0.000, 5.433], [5.433, 5.433, 0.000]], "species": ["Rb", "Rb", "U", "Sn", "Se", "Se", "Se", "Se", "Se", "Se"], "frac_coords": [[0.250, 0.250, 0.250], [0.750, 0.750, 0.750], [0.000, 0.000, 0.000], [0.500, 0.500, 0.500], [0.246, 0.246, 0.754], [0.246, 0.754, 0.246], [0.246, 0.754, 0.754], [0.754, 0.246, 0.246], [0.754, 0.246, 0.754], [0.754, 0.754, 0.246]]}

=====

[3]
{"formula": "Rb2USnSe4", "functional": "GGA-PBE", "state": "relaxed", "magmom_total_mub_per_cell": 2.0, "mass_density_g_cm3": 5.37, "e_form_raw_ev_per_atom": -1.065, "cell": [[7.643, 0.000, 0.000], [0.000, 4.339, 0.000], [-2.425, 0.000, 7.871]], "species": ["Rb", "Rb", "U", "Sn", "Se", "Se", "Se", "Se"], "frac_coords": [[0.000, 0.000, 0.000], [0.500, 0.500, 0.000], [0.000, 0.500, 0.500], [0.500, 0.000, 0.500], [0.217, 0.000, 0.693], [0.247, 0.500, 0.304], [0.753, 0.500, 0.696], [0.783, 0.000, 0.307]]}

=====

[4]
{"formula": "Rb2U3SnSe8", "functional": "GGA-PBE", "state": "relaxed", "magmom_total_mub_per_cell": 6.0, "mass_density_g_cm3": 5.22, "e_form_raw_ev_per_atom": -1.061, "cell": [[4.218, 2.435, 8.444], [-4.218, 2.435, 8.444], [0.000, -4.870, 8.444]], "species": ["Rb", "Rb", "U", "U", "U", "Sn", "Se", "Se", "Se", "Se", "Se", "Se", "Se", "Se"], "frac_coords": [[0.000, 0.000, 0.000], [0.358, 0.358, 0.358], [0.493, 0.999, 0.999], [0.999, 0.493, 0.999], [0.999, 0.999, 0.493], [0.604, 0.604, 0.604], [0.216, 0.733, 0.733], [0.225, 0.225, 0.225], [0.259, 0.259, 0.796], [0.259, 0.796, 0.259], [0.733, 0.216, 0.733], [0.733, 0.733, 0.216], [0.772, 0.772, 0.772], [0.796, 0.259, 0.259]]}

=====

[5]
{"formula": "Rb2USn2Se6", "functional": "GGA-PBE", "state": "relaxed", "magmom_total_mub_per_cell": 0.1, "mass_density_g_cm3": 4.82, "e_form_raw_ev_per_atom": -0.804, "cell": [[6.130, -3.919, 0.000], [6.130, 3.919, 0.000], [-3.151, 0.000, 8.028]], "species": ["Rb", "Rb", "U", "Sn", "Sn", "Se", "Se", "Se", "Se", "Se", "Se"], "frac_coords": [[0.191, 0.191, 0.128], [0.809, 0.809, 0.872], [0.000, 0.000, 0.500], [0.426, 0.426, 0.800], [0.574, 0.574, 0.200], [0.187, 0.709, 0.248], [0.224, 0.224, 0.533], [0.291, 0.813, 0.752], [0.709, 0.187, 0.248], [0.776, 0.776, 0.467], [0.813, 0.291, 0.752]]}

=====

[6]
{"formula": "RbVSnSe3", "functional": "GGA-PBE", "state": "relaxed", "magmom_total_mub_per_cell": 1.7, "mass_density_g_cm3": 4.05, "e_form_raw_ev_per_atom": -0.692, "cell": [[9.822, 0.000, 0.000], [0.000, 4.130, 0.000], [-2.144, 0.000, 9.940]], "species": ["Rb", "Rb", "V", "V", "Sn", "Sn", "Se", "Se", "Se", "Se", "Se", "Se"], "frac_coords": [[0.195, 0.250, 0.169], [0.805, 0.750, 0.831], [0.415, 0.750, 0.927], [0.585, 0.250, 0.073], [0.147, 0.250, 0.622], [0.853, 0.750, 0.378], [0.141, 0.750, 0.424], [0.176, 0.750, 0.877], [0.491, 0.250, 0.830], [0.509, 0.750, 0.170], [0.824, 0.250, 0.123], [0.859, 0.250, 0.576]]}